Compound: Sm2TmGa
Source: the Alexandria database
Functional: PBE
Structure: relaxed

a b c (Å): 4.7504 4.7504 4.7874
angles (deg): 90.00 90.00 90.00
Space group P4/mmm (No. 123)
Unique sites:
Sm 0.0000 0.5000 0.0000
Tm 0.0000 0.0000 0.5000
Ga 0.5000 0.5000 0.5000

raw total energy: -4.468 eV per atom
density: 8.29 Mg/m³
crystal system: tetragonal
DOS at the Fermi energy: 5.5 states/eV/cell
energy relative to the elements: -0.234 eV/atom
M_tot: 0.00 μB/atom
excess energy over the best structure of this formula in the dataset: 12 kJ/mol of formula units

Compound: Sm2TmGa6
Source: the Alexandria database
Functional: PBE
Structure: relaxed

a b c (Å): 7.3236 7.3236 4.1740
angles (deg): 90.00 90.00 120.00
Space group P6/mmm (No. 191)
Unique sites:
Sm 0.3333 0.6667 0.0000
Tm 0.0000 0.0000 0.0000
Ga 0.0000 0.3320 0.5000

raw total energy: -4.206 eV per atom
density: 7.61 Mg/m³
crystal system: hexagonal
DOS at the Fermi energy: 5.8 states/eV/cell
energy relative to the elements: -0.643 eV/atom
M_tot: 0.00 μB/atom
excess energy over the best structure of this formula in the dataset: 0 kJ/mol of formula units

Compound: SmTm2Ga6
Source: the Alexandria database
Functional: PBE
Structure: relaxed

a b c (Å): 4.2979 7.0147 13.1677
angles (deg): 90.00 90.00 90.00
Space group Immm (No. 71)
Unique sites:
Sm 0.0000 0.0000 0.0000
Tm 0.0000 0.5000 0.1252
Ga 0.0000 0.1851 0.5000
Ga 0.0000 0.3051 0.3140

raw total energy: -4.014 eV per atom
density: 7.58 Mg/m³
crystal system: orthorhombic
DOS at the Fermi energy: 8.6 states/eV/cell
energy relative to the elements: -0.478 eV/atom
M_tot: 0.00 μB/atom
excess energy over the best structure of this formula in the dataset: 115 kJ/mol of formula units

Compound: Sm2TmGa2
Source: the Alexandria database
Functional: PBE
Structure: relaxed

a b c (Å): 5.4718 15.1017 6.2509
angles (deg): 90.00 90.00 90.00
Space group Cmc2_1 (No. 36)
Unique sites:
Sm 0.0000 0.0454 0.0000
Sm 0.0000 0.2040 0.4443
Tm 0.0000 0.4110 0.1845
Ga 0.0000 0.2327 0.9172
Ga 0.0000 0.3929 0.7038

raw total energy: -4.406 eV per atom
density: 7.83 Mg/m³
crystal system: orthorhombic
DOS at the Fermi energy: 15.3 states/eV/cell
energy relative to the elements: -0.413 eV/atom
M_tot: 0.00 μB/atom
excess energy over the best structure of this formula in the dataset: 54 kJ/mol of formula units

Compound: Sm2TmGa6
Source: the Alexandria database
Functional: PBE
Structure: relaxed

a b c (Å): 4.3481 7.0089 13.5418
angles (deg): 90.00 90.00 90.00
Space group Immm (No. 71)
Unique sites:
Sm 0.0000 0.0000 0.1274
Tm 0.0000 0.5000 0.0000
Ga 0.0000 0.1894 0.3191
Ga 0.0000 0.3054 0.5000

raw total energy: -3.990 eV per atom
density: 7.15 Mg/m³
crystal system: orthorhombic
DOS at the Fermi energy: 10.7 states/eV/cell
energy relative to the elements: -0.426 eV/atom
M_tot: 0.00 μB/atom
excess energy over the best structure of this formula in the dataset: 188 kJ/mol of formula units

Compound: SmTm2Ga6
Source: the Alexandria database
Functional: PBE
Structure: relaxed

a b c (Å): 7.4708 7.4708 3.8184
angles (deg): 90.00 90.00 120.00
Space group P6/mmm (No. 191)
Unique sites:
Sm 0.0000 0.0000 0.0000
Tm 0.3333 0.6667 0.0000
Ga 0.0000 0.3352 0.5000

raw total energy: -4.146 eV per atom
density: 8.16 Mg/m³
crystal system: hexagonal
DOS at the Fermi energy: 3.8 states/eV/cell
energy relative to the elements: -0.610 eV/atom
M_tot: 0.00 μB/atom
excess energy over the best structure of this formula in the dataset: 0 kJ/mol of formula units